Entry from Alexandria via LeMat-Bulk: a relaxed KV2AgW crystal (PBE).

Unit cell a=4.937 b=5.164 c=4.937 alpha=90.00 beta=90.00 gamma=90.00
Positions (direct):
1 K 0.500 0.500 0.500
2 Ag 0.000 0.000 0.000
3 W 0.000 0.500 0.000
4 V 0.000 0.000 0.500
5 V 0.500 0.000 0.000

Calculated values
formation energy = 2.300 eV/atom
theoretical density = 5.7 g/cm³
electronic total energy = -4.7275 eV per atom
crystal system = tetragonal
Fermi-level density of states = 8.52 states/eV/cell



Entry from Alexandria via LeMat-Bulk: a relaxed KAg3W crystal (PBE).

Unit cell a=5.214 b=5.214 c=5.214 alpha=90.00 beta=90.00 gamma=90.00
Positions (direct):
1 K 0.000 0.000 0.000
2 Ag 0.000 0.500 0.000
3 Ag 0.000 0.000 0.500
4 Ag 0.500 0.000 0.000
5 W 0.500 0.500 0.500

Calculated values
formation energy = 2.162 eV/atom
theoretical density = 6.4 g/cm³
energy above the most stable polymorph in this dataset = 971 meV per atom
electronic total energy = -2.3594 eV per atom
crystal system = cubic
Fermi-level density of states = 2.48 states/eV/cell



Entry from Alexandria via LeMat-Bulk: a relaxed KAg2W crystal (PBE).

Unit cell a=5.800 b=5.800 c=5.469 alpha=78.24 beta=78.24 gamma=27.17
Positions (direct):
1 Ag 0.017 0.017 0.064
2 Ag 0.729 0.729 0.698
3 K 0.483 0.483 0.571
4 W 0.271 0.271 0.167

Calculated values
formation energy = 0.909 eV/atom
theoretical density = 8.9 g/cm³
energy above the most stable polymorph in this dataset = 194 meV per atom
electronic total energy = -4.0296 eV per atom
crystal system = monoclinic
Fermi-level density of states = 3.23 states/eV/cell



Which of these has the lowest theoretical density?
KV2AgW